# 1
{"formula": "Pr2SmNi", "functional": "PBE-GGA", "state": "optimized geometry", "lattice_angstrom": [[3.889, 0.000, 0.000], [1.944, 3.368, 0.000], [1.944, 1.123, 9.353]], "species": ["Pr", "Pr", "Sm", "Ni"], "frac_coords": [[0.061, 0.061, 0.818], [0.273, 0.273, 0.182], [0.500, 0.500, 0.499], [0.666, 0.666, 0.001]], "spacegroup": "R3m (160)", "de_polymorph_ev_per_atom": 0.136, "volume_a3_per_cell": 122.5}

---

# 2
{"formula": "PrSm3Ni2", "functional": "PBE-GGA", "state": "optimized geometry", "lattice_angstrom": [[-1.433, 3.660, -0.449], [-4.480, 1.256, 7.100], [6.483, 5.366, 5.614]], "species": ["Pr", "Pr", "Sm", "Sm", "Sm", "Sm", "Sm", "Sm", "Ni", "Ni", "Ni", "Ni"], "frac_coords": [[0.848, 0.558, 0.747], [0.152, 0.442, 0.253], [0.155, 0.939, 0.751], [0.845, 0.061, 0.249], [0.418, 0.221, 0.943], [0.582, 0.779, 0.057], [0.583, 0.273, 0.560], [0.417, 0.727, 0.440], [0.232, 0.584, 0.952], [0.768, 0.416, 0.048], [0.768, 0.917, 0.547], [0.232, 0.083, 0.453]], "spacegroup": "C2/m (12)", "volume_a3_per_cell": 319.5, "e_tot_ev_per_cell": -63.63}

---

# 3
{"formula": "Pr2SmNi9", "functional": "PBE-GGA", "state": "optimized geometry", "lattice_angstrom": [[4.824, 0.000, 1.436], [2.198, 4.294, 1.436], [0.006, 0.004, 8.802]], "species": ["Pr", "Pr", "Sm", "Ni", "Ni", "Ni", "Ni", "Ni", "Ni", "Ni", "Ni", "Ni"], "frac_coords": [[0.862, 0.862, 0.415], [0.138, 0.138, 0.585], [0.000, 0.000, 0.000], [0.667, 0.667, 0.998], [0.333, 0.333, 0.002], [0.500, 0.500, 0.500], [0.421, 0.421, 0.240], [0.919, 0.421, 0.240], [0.421, 0.919, 0.240], [0.579, 0.579, 0.760], [0.579, 0.081, 0.760], [0.081, 0.579, 0.760]], "spacegroup": "R-3m (166)", "volume_a3_per_cell": 182.3, "e_tot_ev_per_cell": -69.96}

---

# 4
{"formula": "PrSmNi2", "functional": "PBE-GGA", "state": "optimized geometry", "lattice_angstrom": [[3.612, 0.000, -1.311], [0.000, 4.308, 0.000], [0.007, 0.000, 5.613]], "species": ["Pr", "Sm", "Ni", "Ni"], "frac_coords": [[0.722, 0.000, 0.983], [0.447, 0.500, 0.432], [0.151, 0.500, 0.843], [0.011, 0.000, 0.560]], "spacegroup": "Pm (6)", "de_polymorph_ev_per_atom": 0.000, "volume_a3_per_cell": 87.4}

---

# 5
{"formula": "Pr2SmNi", "functional": "PBE-GGA", "state": "optimized geometry", "lattice_angstrom": [[3.715, 0.000, 0.000], [1.858, 3.218, 0.000], [1.858, 1.073, 10.605]], "species": ["Pr", "Pr", "Ni", "Sm"], "frac_coords": [[0.111, 0.111, 0.668], [0.889, 0.889, 0.332], [0.500, 0.500, 0.500], [0.000, 0.000, 0.000]], "spacegroup": "R-3m (166)", "de_polymorph_ev_per_atom": 0.296, "volume_a3_per_cell": 126.8}

---

# 6
{"formula": "Pr2SmNi2", "functional": "PBE-GGA", "state": "optimized geometry", "lattice_angstrom": [[-3.273, 1.929, -0.986], [-0.734, -2.919, -3.275], [-3.383, -2.616, 6.111]], "species": ["Pr", "Pr", "Sm", "Ni", "Ni"], "frac_coords": [[0.500, 0.648, 0.296], [0.500, 0.352, 0.704], [0.000, 0.000, 0.000], [0.000, 0.202, 0.404], [0.000, 0.798, 0.596]], "spacegroup": "Cmmm (65)", "volume_a3_per_cell": 124.3, "e_tot_ev_per_cell": -26.95}

---

# 7
{"formula": "Pr3Sm3Ni4", "functional": "PBE-GGA", "state": "optimized geometry", "lattice_angstrom": [[-3.249, 2.063, 0.604], [-3.413, -6.295, 3.143], [2.663, 2.131, 7.037]], "species": ["Pr", "Pr", "Pr", "Sm", "Sm", "Sm", "Ni", "Ni", "Ni", "Ni"], "frac_coords": [[0.000, 0.502, 0.999], [0.000, 0.001, 0.498], [0.500, 0.163, 0.837], [0.500, 0.834, 0.166], [0.500, 0.337, 0.334], [0.500, 0.666, 0.663], [0.000, 0.618, 0.382], [0.000, 0.386, 0.614], [0.000, 0.878, 0.886], [0.000, 0.114, 0.122]], "spacegroup": "Amm2 (38)", "volume_a3_per_cell": 238.2, "e_tot_ev_per_cell": -53.78}

---

# 8
{"formula": "PrSm12Ni6", "functional": "PBE-GGA", "state": "optimized geometry", "lattice_angstrom": [[-7.660, 3.701, -1.859], [-1.227, -8.406, 1.918], [3.596, 4.040, 6.825]], "species": ["Pr", "Sm", "Sm", "Sm", "Sm", "Sm", "Sm", "Sm", "Sm", "Sm", "Sm", "Sm", "Sm", "Ni", "Ni", "Ni", "Ni", "Ni", "Ni"], "frac_coords": [[0.000, 0.000, 0.000], [0.312, 0.127, 0.815], [0.312, 0.497, 0.185], [0.688, 0.503, 0.815], [0.688, 0.873, 0.185], [0.127, 0.815, 0.312], [0.497, 0.185, 0.312], [0.503, 0.815, 0.688], [0.873, 0.185, 0.688], [0.815, 0.312, 0.127], [0.185, 0.312, 0.497], [0.815, 0.688, 0.503], [0.185, 0.688, 0.873], [0.378, 0.500, 0.878], [0.622, 0.500, 0.122], [0.500, 0.878, 0.378], [0.500, 0.122, 0.622], [0.878, 0.378, 0.500], [0.122, 0.622, 0.500]], "spacegroup": "Im-3 (204)", "volume_a3_per_cell": 508.4, "e_tot_ev_per_cell": -99.81}

---

# 9
{"formula": "Pr2NiSn", "functional": "PBE-GGA", "state": "optimized geometry", "lattice_angstrom": [[3.847, 0.000, 0.000], [1.923, 3.331, 0.000], [1.923, 1.110, 9.878]], "species": ["Pr", "Pr", "Ni", "Sn"], "frac_coords": [[0.109, 0.109, 0.672], [0.891, 0.891, 0.328], [0.500, 0.500, 0.500], [0.000, 0.000, 0.000]], "spacegroup": "R-3m (166)", "de_polymorph_ev_per_atom": 0.405, "volume_a3_per_cell": 126.6}

---

# 10
{"formula": "Pr2NiSn", "functional": "PBE-GGA", "state": "optimized geometry", "lattice_angstrom": [[-1.886, 0.338, 4.431], [-4.898, -7.346, -1.525], [5.974, -1.253, 0.009]], "species": ["Pr", "Pr", "Pr", "Pr", "Ni", "Ni", "Sn", "Sn"], "frac_coords": [[0.167, 0.584, 0.335], [0.833, 0.416, 0.665], [0.167, 0.084, 0.335], [0.833, 0.916, 0.665], [0.000, 0.750, 0.000], [0.000, 0.250, 0.000], [0.500, 0.250, 0.000], [0.500, 0.750, 0.000]], "spacegroup": "Immm (71)", "de_polymorph_ev_per_atom": 0.104, "volume_a3_per_cell": 222.3}

---

# 11
{"formula": "Pr3Ni6Sn5", "functional": "PBE-GGA", "state": "optimized geometry", "lattice_angstrom": [[-3.036, -0.789, -3.032], [-0.099, -9.383, 2.542], [-9.450, 2.489, 8.816]], "species": ["Pr", "Pr", "Pr", "Pr", "Pr", "Pr", "Ni", "Ni", "Ni", "Ni", "Ni", "Ni", "Ni", "Ni", "Ni", "Ni", "Ni", "Ni", "Sn", "Sn", "Sn", "Sn", "Sn", "Sn", "Sn", "Sn", "Sn", "Sn"], "frac_coords": [[0.000, 0.251, 0.684], [0.500, 0.749, 0.184], [0.500, 0.749, 0.816], [0.000, 0.232, 0.000], [0.500, 0.768, 0.500], [0.000, 0.251, 0.316], [0.000, 0.982, 0.863], [0.500, 0.018, 0.637], [0.500, 0.378, 0.826], [0.500, 0.487, 0.000], [0.000, 0.513, 0.500], [0.000, 0.622, 0.674], [0.000, 0.622, 0.326], [0.500, 0.964, 0.000], [0.000, 0.982, 0.137], [0.500, 0.378, 0.174], [0.000, 0.036, 0.500], [0.500, 0.018, 0.363], [0.000, 0.512, 0.868], [0.000, 0.893, 0.670], [0.000, 0.798, 0.000], [0.500, 0.488, 0.632], [0.500, 0.202, 0.500], [0.000, 0.512, 0.132], [0.500, 0.488, 0.368], [0.000, 0.893, 0.330], [0.500, 0.107, 0.830], [0.500, 0.107, 0.170]], "spacegroup": "Pmmn (59)", "volume_a3_per_cell": 558.2, "e_tot_ev_per_cell": -151.79}

---

# 12
{"formula": "PrNi3Sn3", "functional": "PBE-GGA", "state": "optimized geometry", "lattice_angstrom": [[8.364, 0.000, 0.000], [4.182, 7.244, 0.000], [4.182, 2.414, 4.844]], "species": ["Pr", "Pr", "Ni", "Ni", "Ni", "Ni", "Ni", "Ni", "Sn", "Sn", "Sn", "Sn", "Sn", "Sn"], "frac_coords": [[0.334, 0.334, 0.998], [0.666, 0.666, 0.002], [0.235, 0.660, 0.120], [0.985, 0.235, 0.120], [0.660, 0.985, 0.120], [0.340, 0.015, 0.880], [0.015, 0.765, 0.880], [0.765, 0.340, 0.880], [0.355, 0.879, 0.599], [0.879, 0.167, 0.599], [0.167, 0.355, 0.599], [0.833, 0.645, 0.401], [0.121, 0.833, 0.401], [0.645, 0.121, 0.401]], "spacegroup": "R-3 (148)", "de_polymorph_ev_per_atom": 0.000, "volume_a3_per_cell": 293.5}

---

# 13
{"formula": "PrNi2Sn7", "functional": "PBE-GGA", "state": "optimized geometry", "lattice_angstrom": [[-1.782, 4.089, 1.266], [-7.170, -2.252, -2.814], [1.388, -1.780, 7.701]], "species": ["Pr", "Ni", "Ni", "Sn", "Sn", "Sn", "Sn", "Sn", "Sn", "Sn"], "frac_coords": [[0.000, 0.000, 0.000], [0.500, 0.683, 0.317], [0.500, 0.317, 0.683], [0.000, 0.753, 0.247], [0.000, 0.247, 0.753], [0.500, 0.062, 0.341], [0.500, 0.938, 0.659], [0.500, 0.341, 0.062], [0.500, 0.659, 0.938], [0.500, 0.500, 0.500]], "spacegroup": "Cmmm (65)", "volume_a3_per_cell": 269.7, "e_tot_ev_per_cell": -45.32}

---

# 14
{"formula": "Pr3Ni2Sn3", "functional": "PBE-GGA", "state": "optimized geometry", "lattice_angstrom": [[-0.748, 4.435, -0.686], [-3.973, -3.462, -2.964], [-9.385, 0.307, 12.218]], "species": ["Pr", "Pr", "Pr", "Pr", "Pr", "Pr", "Ni", "Ni", "Ni", "Ni", "Sn", "Sn", "Sn", "Sn", "Sn", "Sn"], "frac_coords": [[0.920, 0.839, 0.390], [0.080, 0.161, 0.890], [0.920, 0.839, 0.110], [0.080, 0.161, 0.610], [0.636, 0.271, 0.250], [0.364, 0.729, 0.750], [0.795, 0.589, 0.897], [0.205, 0.411, 0.397], [0.795, 0.589, 0.603], [0.205, 0.411, 0.103], [0.635, 0.270, 0.463], [0.365, 0.730, 0.963], [0.635, 0.270, 0.037], [0.365, 0.730, 0.537], [0.337, 0.673, 0.250], [0.663, 0.327, 0.750]], "spacegroup": "Cmcm (63)", "volume_a3_per_cell": 392.7, "e_tot_ev_per_cell": -86.18}

---

# 15
{"formula": "Pr2Ni4Sn", "functional": "PBE-GGA", "state": "optimized geometry", "lattice_angstrom": [[5.670, -0.066, 0.000], [-0.155, 5.668, 0.000], [-2.758, -2.801, 4.465]], "species": ["Pr", "Pr", "Ni", "Ni", "Ni", "Ni", "Sn"], "frac_coords": [[0.250, 0.750, 0.500], [0.750, 0.250, 0.500], [0.662, 0.662, 0.000], [0.338, 0.338, 0.000], [0.279, 0.279, 0.558], [0.721, 0.721, 0.442], [0.000, 0.000, 0.000]], "spacegroup": "Fmmm (69)", "volume_a3_per_cell": 143.4, "e_tot_ev_per_cell": -38.19}

---

# 16
{"formula": "Pr2NiSn", "functional": "PBE-GGA", "state": "optimized geometry", "lattice_angstrom": [[-1.241, -2.268, -2.466], [3.054, 0.316, -1.827], [3.107, -6.185, 4.124]], "species": ["Pr", "Pr", "Ni", "Sn"], "frac_coords": [[0.000, 0.000, 0.786], [0.000, 0.000, 0.214], [0.500, 0.500, 0.000], [0.500, 0.500, 0.500]], "spacegroup": "P4/mmm (123)", "de_polymorph_ev_per_atom": 0.000, "volume_a3_per_cell": 102.9}

---

# 17
{"formula": "PrNi3Sn3", "functional": "PBE-GGA", "state": "optimized geometry", "lattice_angstrom": [[6.908, 0.000, 0.000], [0.000, 6.908, 0.000], [0.000, 0.000, 6.908]], "species": ["Pr", "Pr", "Ni", "Ni", "Ni", "Ni", "Ni", "Ni", "Sn", "Sn", "Sn", "Sn", "Sn", "Sn"], "frac_coords": [[0.500, 0.500, 0.500], [0.000, 0.000, 0.000], [0.250, 0.000, 0.500], [0.000, 0.500, 0.250], [0.500, 0.750, 0.000], [0.750, 0.000, 0.500], [0.000, 0.500, 0.750], [0.500, 0.250, 0.000], [0.000, 0.250, 0.500], [0.000, 0.750, 0.500], [0.500, 0.000, 0.750], [0.750, 0.500, 0.000], [0.500, 0.000, 0.250], [0.250, 0.500, 0.000]], "spacegroup": "Pm-3n (223)", "de_polymorph_ev_per_atom": 0.224, "volume_a3_per_cell": 329.7}

---

# 18
{"formula": "PrNi5Sn", "functional": "PBE-GGA", "state": "optimized geometry", "lattice_angstrom": [[-1.583, -3.895, -2.631], [6.700, 0.416, -4.647], [4.906, -6.386, 6.500]], "species": ["Pr", "Pr", "Pr", "Pr", "Ni", "Ni", "Ni", "Ni", "Ni", "Ni", "Ni", "Ni", "Ni", "Ni", "Ni", "Ni", "Ni", "Ni", "Ni", "Ni", "Ni", "Ni", "Ni", "Ni", "Sn", "Sn", "Sn", "Sn"], "frac_coords": [[0.250, 0.249, 0.942], [0.750, 0.251, 0.442], [0.250, 0.749, 0.558], [0.750, 0.751, 0.058], [0.250, 0.585, 0.018], [0.750, 0.915, 0.518], [0.250, 0.085, 0.482], [0.750, 0.415, 0.982], [0.750, 0.315, 0.754], [0.250, 0.185, 0.254], [0.750, 0.815, 0.746], [0.250, 0.685, 0.246], [0.250, 0.945, 0.104], [0.750, 0.555, 0.604], [0.250, 0.445, 0.396], [0.750, 0.055, 0.896], [0.000, 0.434, 0.191], [0.000, 0.066, 0.691], [0.500, 0.934, 0.309], [0.500, 0.566, 0.809], [0.000, 0.566, 0.809], [0.000, 0.934, 0.309], [0.500, 0.066, 0.691], [0.500, 0.434, 0.191], [0.250, 0.858, 0.860], [0.750, 0.642, 0.360], [0.250, 0.358, 0.640], [0.750, 0.142, 0.140]], "spacegroup": "Pnma (62)", "volume_a3_per_cell": 419.0, "e_tot_ev_per_cell": -159.70}

---

# 19
{"formula": "Pr2Ni2Sn3", "functional": "PBE-GGA", "state": "optimized geometry", "lattice_angstrom": [[4.271, 0.000, 0.000], [-2.136, 5.424, -0.237], [0.000, -2.794, 6.943]], "species": ["Pr", "Pr", "Ni", "Ni", "Sn", "Sn", "Sn"], "frac_coords": [[0.852, 0.704, 0.207], [0.148, 0.296, 0.793], [0.856, 0.712, 0.765], [0.144, 0.288, 0.235], [0.500, 0.000, 0.000], [0.626, 0.252, 0.449], [0.374, 0.748, 0.551]], "spacegroup": "C2/m (12)", "de_polymorph_ev_per_atom": 0.057, "volume_a3_per_cell": 158.0}

---

# 20
{"formula": "PrNi6Sn2", "functional": "PBE-GGA", "state": "optimized geometry", "lattice_angstrom": [[3.671, 0.000, 0.000], [0.000, 6.440, 0.000], [-1.835, -3.220, 6.226]], "species": ["Pr", "Ni", "Ni", "Ni", "Ni", "Ni", "Ni", "Sn", "Sn"], "frac_coords": [[0.000, 0.500, 0.000], [0.684, 0.887, 0.369], [0.316, 0.113, 0.631], [0.316, 0.518, 0.631], [0.500, 0.176, 0.000], [0.500, 0.824, 0.000], [0.684, 0.482, 0.369], [0.863, 0.863, 0.726], [0.137, 0.137, 0.274]], "spacegroup": "Immm (71)", "volume_a3_per_cell": 147.2, "e_tot_ev_per_cell": -48.01}

---

# 21
{"formula": "Pr3Ni3Sn4", "functional": "PBE-GGA", "state": "optimized geometry", "lattice_angstrom": [[8.440, 0.000, 0.000], [-2.813, 7.957, 0.000], [-2.813, -3.979, 6.891]], "species": ["Pr", "Pr", "Pr", "Pr", "Pr", "Pr", "Ni", "Ni", "Ni", "Ni", "Ni", "Ni", "Sn", "Sn", "Sn", "Sn", "Sn", "Sn", "Sn", "Sn"], "frac_coords": [[0.625, 0.750, 0.875], [0.875, 0.250, 0.625], [0.125, 0.375, 0.250], [0.375, 0.125, 0.750], [0.250, 0.875, 0.125], [0.750, 0.625, 0.375], [0.125, 0.750, 0.375], [0.375, 0.250, 0.125], [0.625, 0.875, 0.250], [0.875, 0.625, 0.750], [0.250, 0.375, 0.625], [0.750, 0.125, 0.875], [0.000, 0.000, 0.350], [0.500, 0.350, 0.500], [0.650, 0.150, 0.150], [0.000, 0.000, 0.850], [0.850, 0.500, 0.000], [0.500, 0.850, 0.500], [0.350, 0.500, 0.000], [0.150, 0.650, 0.650]], "spacegroup": "I-43d (220)", "volume_a3_per_cell": 462.8, "e_tot_ev_per_cell": -106.63}

---

no.,density of states at the Fermi level (states/eV/cell)
1,4.73
2,14.70
3,14.52
4,2.50
5,6.24
6,3.97
7,8.92
8,24.73
9,3.71
10,6.34
11,19.47
12,8.18
13,6.27
14,8.80
15,5.51
16,3.57
17,11.38
18,28.08
19,6.25
20,8.45
21,19.24